A relaxed structure of BeCdGe2. Source: the Alexandria database, functional PBE.

Structure (POSCAR):
```
BeCdGe2
1.0
4.522 0.000 0.000
0.000 4.522 0.000
2.261 2.261 7.649
Be Ge Cd
2 4 2
direct
0.500 0.500 0.000
0.250 0.750 0.500
0.537 0.125 0.250
0.213 0.625 0.250
0.375 0.463 0.750
0.875 0.787 0.750
0.000 0.000 0.000
0.750 0.250 0.500
```

Output
- Mass density: 5.663 Mg/m³
- Polymorph energy (0 for the lowest one): 0.0 kJ per mole of atoms
- Space-group type: I-42d, No. 122
- Energy relative to the elements: 0.29 eV/atom

---

A relaxed structure of Be3CdGe. Source: the Alexandria database, functional PBE.

Structure (POSCAR):
```
Be3CdGe
1.0
-3.159 -1.041 2.786
1.041 -4.194 -0.387
2.786 0.387 3.304
Be Ge Cd
3 1 1
direct
0.000 0.500 0.000
0.000 0.000 0.500
0.500 0.000 0.000
0.000 0.000 0.000
0.500 0.500 0.500
```

Output
- Mass density: 4.312 Mg/m³
- Polymorph energy (0 for the lowest one): 0.0 kJ per mole of atoms
- Space-group type: Pm-3m, No. 221
- Energy relative to the elements: 0.86 eV/atom

---

A relaxed structure of BeCd3Ge. Source: the Alexandria database, functional PBE.

Structure (POSCAR):
```
BeCd3Ge
1.0
-2.752 1.221 -4.275
-2.317 -4.685 0.154
-3.795 1.975 3.007
Be Ge Cd
1 1 3
direct
0.500 0.500 0.500
0.000 0.000 0.000
0.000 0.500 0.000
0.000 0.000 0.500
0.500 0.000 0.000
```

Output
- Mass density: 4.865 Mg/m³
- Polymorph energy (0 for the lowest one): 38.2 kJ per mole of atoms
- Space-group type: Pm-3m, No. 221
- Energy relative to the elements: 0.84 eV/atom

---

> Look up the mass density of the first one.

5.663 Mg/m³

---

> Which value of energy relative to the elements does entry 3 give?

0.84 eV/atom